## CrPb4 (meta-GGA SCAN)

Data for a crystal of CrPb4 relaxed with PBEsol.

Structure (CIF):
```
data_CrPb4
_chemical_formula_sum 'Cr2 Pb8'
_space_group_name_H-M_alt 'I 4/m'
_space_group_IT_number 87
_space_group_name_Hall '-I 4'
_cell_length_a 7.304
_cell_length_b 7.304
_cell_length_c 4.969
_cell_angle_alpha 90.00
_cell_angle_beta 90.00
_cell_angle_gamma 90.00
loop_
_atom_site_label
_atom_site_type_symbol
_atom_site_fract_x
_atom_site_fract_y
_atom_site_fract_z
_atom_site_occupancy
Cr1 Cr 0.000 0.000 0.000 1
Pb1 Pb 0.114 0.297 0.500 1
```

The calculation puts the total DFT energy (no corrections) at -64.1156 eV/atom. The size of the total moment comes out at 4.33 μB per formula unit. The density of states at the Fermi level is 2.3 states/eV/f.u.